No. 1
## PmBeSi2Ni (GGA-PBE)

Data for a geometry-optimized PmBeSi2Ni structure.

Cell and atoms, written as extended XYZ:
```
5
Lattice="-1.974 1.974 4.908 1.974 -1.974 4.908 1.974 1.974 -4.908" Properties=species:S:1:pos:R:3 pbc="T T T"
Pm 0.000 0.000 0.000
Be 0.000 1.974 2.454
Si 0.000 0.000 3.673
Si 0.000 0.000 6.142
Ni 1.974 0.000 2.454
```

D(E_F): 0.25 states/eV/atom
ΔE_f (raw): -3.41 eV per formula unit
V: 76.47 Å³ per cell



No. 2
## TmSi2Ni3 (GGA-PBE)

Data for a geometry-optimized TmSi2Ni3 structure.

Cell and atoms, written as extended XYZ:
```
12
Lattice="7.215 -1.886 0.000 7.215 1.886 0.000 -2.972 0.000 6.273" Properties=species:S:1:pos:R:3 pbc="T T T"
Tm 2.006 0.000 0.433
Tm 9.452 0.000 5.840
Si 0.708 0.000 4.205
Si 4.497 0.000 5.136
Si 6.961 0.000 1.137
Si 10.750 0.000 2.068
Ni -0.540 0.000 2.304
Ni 2.902 0.000 3.516
Ni 4.888 0.000 2.041
Ni 6.571 0.000 4.232
Ni 8.557 0.000 2.757
Ni 11.999 0.000 3.969
```

D(E_F): 0.63 states/eV/atom
ΔE_f (raw): -4.22 eV per formula unit
V: 170.76 Å³ per cell



No. 3
## ErTm2Zn2 (GGA-PBE)

Data for a geometry-optimized ErTm2Zn2 structure.

Cell and atoms, written as extended XYZ:
```
10
Lattice="3.554 0.000 0.000 0.000 5.081 0.000 -1.780 0.000 13.024" Properties=species:S:1:pos:R:3 pbc="T T T"
Er 0.003 1.270 3.756
Er 1.772 3.811 9.267
Tm -0.001 3.811 1.202
Tm -0.002 3.811 6.061
Tm 1.777 1.270 6.963
Tm 1.776 1.270 11.822
Zn -0.003 1.270 9.376
Zn -0.002 3.811 11.752
Zn 1.776 1.270 1.271
Zn 1.777 3.811 3.648
```

Calculated formation energy: -0.2766 eV/atom
D(E_F): 0.88 states/eV/atom
V: 235.19 Å³ per cell



No. 4
## CsNaCd2Ge (GGA-PBE)

Data for a geometry-optimized CsNaCd2Ge structure.

Cell and atoms, written as extended XYZ:
```
5
Lattice="5.660 0.000 0.000 0.000 5.660 0.000 0.000 0.000 5.738" Properties=species:S:1:pos:R:3 pbc="T T T"
Cs 0.000 0.000 0.000
Na 2.830 2.830 0.000
Cd 0.000 2.830 2.869
Cd 2.830 0.000 2.869
Ge 2.830 2.830 2.869
```

Calculated formation energy: 0.0374 eV/atom
D(E_F): 0.97 states/eV/atom
V: 183.80 Å³ per cell